1.
## Ba3Sr4O7 (PBE)

Data for an optimized crystal structure of Ba3Sr4O7.

Summary:
Calculated density: 5.285 g cm⁻³
Space-group type: Immm (71)
DFT total energy: -5.954 eV/atom
Raw formation energy: -2582 meV per atom

Cell: 13.786 13.786 13.786 Å, 164.12 157.46 27.70°
Atoms (fractional coordinates):
Sr (0.285, 0.785, 0.500)
Sr (0.715, 0.215, 0.500)
Sr (0.428, 0.928, 0.500)
Sr (0.572, 0.072, 0.500)
Ba (0.855, 0.355, 0.500)
Ba (0.145, 0.645, 0.500)
Ba (0.000, 0.500, 0.500)
O (0.640, 0.640, 0.000)
O (0.360, 0.360, 0.000)
O (0.500, 0.500, 0.000)
O (0.222, 0.222, 0.000)
O (0.778, 0.778, 0.000)
O (0.074, 0.074, 0.000)
O (0.926, 0.926, 0.000)


2.
## Ba3SrO (PBE)

Data for an optimized crystal structure of Ba3SrO.

Summary:
Calculated density: 4.166 g cm⁻³
Space-group type: Pm-3m (221)
DFT total energy: -3.319 eV/atom
Energy relative to the lowest polymorph listed for this composition: 0 meV/atom
Raw formation energy: -837 meV per atom

Cell: 5.901 5.901 5.901 Å, 90.00 90.00 90.00°
Atoms (fractional coordinates):
Sr (0.500, 0.500, 0.500)
Ba (0.000, 0.500, 0.000)
Ba (0.000, 0.000, 0.500)
Ba (0.500, 0.000, 0.000)
O (0.000, 0.000, 0.000)


3.
## Ba3SrTa2O9 (PBE)

Data for an optimized crystal structure of Ba3SrTa2O9.

Summary:
Calculated density: 6.521 g cm⁻³
Space-group type: P6_3/m (176)
DFT total energy: -8.039 eV/atom
Energy relative to the lowest polymorph listed for this composition: 0 meV/atom
Raw formation energy: -2987 meV per atom

Cell: 6.149 6.149 15.636 Å, 90.00 90.00 120.00°
Atoms (fractional coordinates):
Ba (0.000, 0.000, 0.250)
Ba (0.000, 0.000, 0.750)
Ba (0.333, 0.667, 0.120)
Ba (0.667, 0.333, 0.620)
Ba (0.667, 0.333, 0.880)
Ba (0.333, 0.667, 0.380)
Sr (0.000, 0.000, 0.000)
Sr (0.000, 0.000, 0.500)
Ta (0.333, 0.667, 0.846)
Ta (0.667, 0.333, 0.346)
Ta (0.667, 0.333, 0.154)
Ta (0.333, 0.667, 0.654)
O (0.572, 0.046, 0.250)
O (0.526, 0.572, 0.750)
O (0.046, 0.474, 0.750)
O (0.954, 0.526, 0.250)
O (0.474, 0.428, 0.250)
O (0.428, 0.954, 0.750)
O (0.758, 0.644, 0.098)
O (0.114, 0.758, 0.598)
O (0.644, 0.886, 0.598)
O (0.356, 0.114, 0.098)
O (0.886, 0.242, 0.098)
O (0.242, 0.356, 0.598)
O (0.242, 0.356, 0.902)
O (0.886, 0.242, 0.402)
O (0.356, 0.114, 0.402)
O (0.644, 0.886, 0.902)
O (0.114, 0.758, 0.902)
O (0.758, 0.644, 0.402)


Look up the calculated density of the second one.
4.166 g cm⁻³